Record 1
# Ga2SnPbSe6 | Alexandria via LeMat-Bulk | PBE | optimized geometry
data_Ga2SnPbSe6
_space_group_name_H-M_alt 'P 1'
_space_group_IT_number 1
_cell_length_a 9.318
_cell_length_b 9.318
_cell_length_c 7.464
_cell_angle_alpha 106.11
_cell_angle_beta 106.11
_cell_angle_gamma 85.50
loop_
_space_group_symop_operation_xyz
'x,y,z'
loop_
_atom_site_label
_atom_site_type_symbol
_atom_site_fract_x
_atom_site_fract_y
_atom_site_fract_z
Ga1 Ga 0.112 0.238 0.197
Ga2 Ga 0.238 0.112 0.697
Ga3 Ga 0.762 0.888 0.303
Ga4 Ga 0.888 0.762 0.803
Sn1 Sn 0.302 0.698 0.250
Sn2 Sn 0.698 0.302 0.750
Pb1 Pb 0.369 0.631 0.750
Pb2 Pb 0.631 0.369 0.250
Se1 Se 0.045 0.211 0.480
Se2 Se 0.104 0.610 0.922
Se3 Se 0.211 0.045 0.980
Se4 Se 0.318 0.440 0.335
Se5 Se 0.390 0.896 0.578
Se6 Se 0.440 0.318 0.835
Se7 Se 0.560 0.682 0.165
Se8 Se 0.610 0.104 0.422
Se9 Se 0.682 0.560 0.665
Se10 Se 0.789 0.955 0.020
Se11 Se 0.896 0.390 0.078
Se12 Se 0.955 0.789 0.520
# Space-group type = C2/c, No. 15
# Raw formation energy = -0.391 eV per atom
# DFT total energy = -3.859 eV/atom


Record 2
# NaTcP2Rh | Alexandria via LeMat-Bulk | PBE | optimized geometry
data_NaTcP2Rh
_space_group_name_H-M_alt 'P 1'
_space_group_IT_number 1
_cell_length_a 5.594
_cell_length_b 5.594
_cell_length_c 5.594
_cell_angle_alpha 137.13
_cell_angle_beta 137.13
_cell_angle_gamma 62.24
loop_
_space_group_symop_operation_xyz
'x,y,z'
loop_
_atom_site_label
_atom_site_type_symbol
_atom_site_fract_x
_atom_site_fract_y
_atom_site_fract_z
Na1 Na 0.000 0.000 0.000
Tc1 Tc 0.750 0.250 0.500
P1 P 0.372 0.372 0.000
P2 P 0.628 0.628 0.000
Rh1 Rh 0.250 0.750 0.500
# ΔH_f (0 K) = -0.631 eV/atom
# Space-group type = I-4m2, No. 119
# DFT total energy = -6.602 eV/atom


Record 3
# LaPr8Sc2 | Alexandria via LeMat-Bulk | PBE | optimized geometry
data_LaPr8Sc2
_space_group_name_H-M_alt 'P 1'
_space_group_IT_number 1
_cell_length_a 9.449
_cell_length_b 9.449
_cell_length_c 9.449
_cell_angle_alpha 145.76
_cell_angle_beta 125.95
_cell_angle_gamma 65.56
loop_
_space_group_symop_operation_xyz
'x,y,z'
loop_
_atom_site_label
_atom_site_type_symbol
_atom_site_fract_x
_atom_site_fract_y
_atom_site_fract_z
La1 La 0.000 0.000 0.000
Pr1 Pr 0.151 0.854 0.297
Pr2 Pr 0.161 0.661 0.500
Pr3 Pr 0.301 0.500 0.801
Pr4 Pr 0.443 0.146 0.297
Pr5 Pr 0.557 0.854 0.703
Pr6 Pr 0.699 0.500 0.199
Pr7 Pr 0.839 0.339 0.500
Pr8 Pr 0.849 0.146 0.703
Sc1 Sc 0.299 0.299 0.000
Sc2 Sc 0.701 0.701 0.000
# E above lowest polymorph = 0 meV/atom
# ΔH_f (0 K) = 0.117 eV/atom
# Space-group type = Immm, No. 71
# DFT total energy = -4.958 eV/atom